[1]
NbPPb3: PBEsol geometry, SCAN.

## Properties
As for the symmetry: Pm-3m, No. 221. The energy relative to the elements is 0.786 eV per atom.

Cell: 5.4167 5.4167 5.4167 Å, 90.00 90.00 90.00°
Element x y z (fractional)
Pb  0.0000  0.5000  0.0000
Pb  0.0000  0.0000  0.5000
Pb  0.5000  0.0000  0.0000
P  0.5000  0.5000  0.5000
Nb  0.0000  0.0000  0.0000

[2]
TiNbP2Pb: PBEsol geometry, SCAN.

## Properties
As for the symmetry: P4/mmm, No. 123. The energy relative to the elements is 1.749 eV per atom.

Cell: 5.0050 5.0050 5.2072 Å, 90.00 90.00 90.00°
Element x y z (fractional)
Pb  0.0000  0.0000  0.0000
P  0.0000  0.5000  0.0000
P  0.5000  0.0000  0.0000
Nb  0.0000  0.0000  0.5000
Ti  0.5000  0.5000  0.5000

[3]
Nb5P4Pd4: PBEsol geometry, SCAN.

## Properties
As for the symmetry: I4/m, No. 87. The energy relative to the elements is -0.806 eV per atom.

Cell: 3.6122 7.5082 7.5082 Å, 86.68 76.08 76.08°
Element x y z (fractional)
Nb  0.6888  0.9346  0.6877
Nb  0.3112  0.0654  0.3123
Nb  0.0000  0.0000  0.0000
Nb  0.6234  0.6877  0.0654
Nb  0.3766  0.3123  0.9346
P  0.7558  0.3034  0.1850
P  0.2442  0.6966  0.8150
P  0.9408  0.8150  0.3034
P  0.0592  0.1850  0.6966
Pd  0.8851  0.5210  0.7087
Pd  0.5938  0.2913  0.5210
Pd  0.1149  0.4790  0.2913
Pd  0.4062  0.7087  0.4790

[4]
NbPPdRu2: PBEsol geometry, SCAN.

## Properties
As for the symmetry: P4/mmm, No. 123. The energy relative to the elements is 1.896 eV per atom.

Cell: 4.6390 4.6390 4.6877 Å, 90.00 90.00 90.00°
Element x y z (fractional)
Ru  0.0000  0.5000  0.0000
Ru  0.5000  0.0000  0.0000
Nb  0.0000  0.0000  0.5000
Pd  0.0000  0.0000  0.0000
P  0.5000  0.5000  0.5000

[5]
NbPPdS2: PBEsol geometry, SCAN.

## Properties
As for the symmetry: P4/mmm, No. 123. The value obtained for the formation energy from raw total energies is 0.273 eV/atom.

Cell: 4.6682 4.6682 4.8279 Å, 90.00 90.00 90.00°
Element x y z (fractional)
P  0.0000  0.0000  0.5000
Nb  0.0000  0.0000  0.0000
S  0.0000  0.5000  0.0000
S  0.5000  0.0000  0.0000
Pd  0.5000  0.5000  0.5000

[6]
NbP3Pt: PBEsol geometry, SCAN.

## Properties
As for the symmetry: Pm-3m, No. 221. The energy relative to the elements is 0.893 eV per atom.

Cell: 4.5577 4.5577 4.5577 Å, 90.00 90.00 90.00°
Element x y z (fractional)
P  0.0000  0.5000  0.0000
P  0.0000  0.0000  0.5000
P  0.5000  0.0000  0.0000
Nb  0.5000  0.5000  0.5000
Pt  0.0000  0.0000  0.0000